No. 1
The following is a PBE calculation of a relaxed Ce3NiRh crystal, from Alexandria.

Summary:
**ΔE_f**: -0.406 eV per atom
**Electronic total energy**: -6.59 eV per atom

CIF file:
```
data_Ce3NiRh
_chemical_formula_sum 'Ce12 Ni4 Rh4'
_space_group_name_H-M_alt 'C 1 2/m 1'
_space_group_IT_number 12
_cell_length_a 13.8448
_cell_length_b 4.4220
_cell_length_c 7.2228
_cell_angle_alpha 90.00
_cell_angle_beta 99.50
_cell_angle_gamma 90.00
loop_
_space_group_symop_operation_xyz
'x,y,z'
'-x,-y,-z'
'-x,y,-z'
'x,-y,z'
'x+1/2,y+1/2,z'
'-x+1/2,-y+1/2,-z'
'-x+1/2,y+1/2,-z'
'x+1/2,-y+1/2,z'
loop_
_atom_site_label
_atom_site_fract_x
_atom_site_fract_y
_atom_site_fract_z
_atom_site_occupancy
Ce1 0.0358 0.0000 0.2718 1
Ce2 0.0838 0.5000 0.9036 1
Ce3 0.2374 0.0000 0.6884 1
Ni1 0.2005 0.0000 0.0452 1
Rh1 0.1076 0.5000 0.5146 1
```

---

No. 2
The following is a PBE calculation of a relaxed Ce2NiRh crystal, from Alexandria.

Summary:
**ΔE_f**: 0.039 eV per atom
**Electronic total energy**: -6.21 eV per atom

CIF file:
```
data_Ce2NiRh
_chemical_formula_sum 'Ce6 Ni3 Rh3'
_space_group_name_H-M_alt 'R -3 m'
_space_group_IT_number 166
_space_group_name_Hall '-R 3 2"'
_cell_length_a 3.0105
_cell_length_b 3.0105
_cell_length_c 29.1444
_cell_angle_alpha 90.00
_cell_angle_beta 90.00
_cell_angle_gamma 120.00
loop_
_atom_site_label
_atom_site_fract_x
_atom_site_fract_y
_atom_site_fract_z
_atom_site_occupancy
Ce1 0.0000 0.0000 0.0851 1
Ni1 0.0000 0.0000 0.0000 1
Rh1 0.0000 0.0000 0.5000 1
```

---

No. 3
The following is a PBE calculation of a relaxed Ce2NiRh crystal, from Alexandria.

Summary:
**ΔE_f**: -0.543 eV per atom
**Electronic total energy**: -6.79 eV per atom

CIF file:
```
data_Ce2NiRh
_chemical_formula_sum 'Ce4 Ni2 Rh2'
_space_group_name_H-M_alt 'P 1 21/m 1'
_space_group_IT_number 11
_cell_length_a 5.8246
_cell_length_b 4.0998
_cell_length_c 7.5321
_cell_angle_alpha 90.00
_cell_angle_beta 108.80
_cell_angle_gamma 90.00
loop_
_space_group_symop_operation_xyz
'x,y,z'
'-x,-y,-z'
'-x,y+1/2,-z'
'x,-y+1/2,z'
loop_
_atom_site_label
_atom_site_fract_x
_atom_site_fract_y
_atom_site_fract_z
_atom_site_occupancy
Ce1 0.2250 0.2500 0.4348 1
Ce2 0.2310 0.2500 0.9323 1
Ni1 0.3245 0.7500 0.7046 1
Rh1 0.3100 0.7500 0.2073 1
```

---

No. 4
The following is a PBE calculation of a relaxed CeNi5Rh crystal, from Alexandria.

Summary:
**ΔE_f**: -0.252 eV per atom
**Electronic total energy**: -6.28 eV per atom

CIF file:
```
data_CeNi5Rh
_chemical_formula_sum 'Ce4 Ni20 Rh4'
_space_group_name_H-M_alt 'P n m a'
_space_group_IT_number 62
_cell_length_a 7.8480
_cell_length_b 4.8709
_cell_length_c 10.0556
_cell_angle_alpha 90.00
_cell_angle_beta 90.00
_cell_angle_gamma 90.00
loop_
_space_group_symop_operation_xyz
'x,y,z'
'-x,-y,-z'
'-x+1/2,-y,z+1/2'
'x+1/2,y,-z+1/2'
'x+1/2,-y+1/2,-z+1/2'
'-x+1/2,y+1/2,z+1/2'
'-x,y+1/2,-z'
'x,-y+1/2,z'
loop_
_atom_site_label
_atom_site_fract_x
_atom_site_fract_y
_atom_site_fract_z
_atom_site_occupancy
Ce1 0.2397 0.2500 0.0609 1
Ni1 0.0657 0.7500 0.1006 1
Ni2 0.0718 0.0028 0.3140 1
Ni3 0.1043 0.2500 0.5212 1
Ni4 0.1776 0.2500 0.7559 1
Rh1 0.1369 0.7500 0.8549 1
```

---

Which of these has the lowest electronic total energy? number 3

---

Repeat the second record exactly.
The following is a PBE calculation of a relaxed Ce2NiRh crystal, from Alexandria.

Summary:
**ΔE_f**: 0.039 eV per atom
**Electronic total energy**: -6.21 eV per atom

CIF file:
```
data_Ce2NiRh
_chemical_formula_sum 'Ce6 Ni3 Rh3'
_space_group_name_H-M_alt 'R -3 m'
_space_group_IT_number 166
_space_group_name_Hall '-R 3 2"'
_cell_length_a 3.0105
_cell_length_b 3.0105
_cell_length_c 29.1444
_cell_angle_alpha 90.00
_cell_angle_beta 90.00
_cell_angle_gamma 120.00
loop_
_atom_site_label
_atom_site_fract_x
_atom_site_fract_y
_atom_site_fract_z
_atom_site_occupancy
Ce1 0.0000 0.0000 0.0851 1
Ni1 0.0000 0.0000 0.0000 1
Rh1 0.0000 0.0000 0.5000 1
```